The following is a GGA-PBE calculation of KP2N after structural relaxation, from the Alexandria database.

Unit cell a=4.7090 b=4.7090 c=13.5659 alpha=90.00 beta=90.00 gamma=90.00
Sites, in units of the cell vectors:
K 0.0000 0.2500 0.3750
K 0.0000 0.7500 0.6250
K 0.5000 0.2500 0.1250
K 0.5000 0.7500 0.8750
P 0.0000 0.0000 0.0000
P 0.0000 0.5000 0.0000
P 0.2500 0.2500 0.7500
P 0.2500 0.7500 0.2500
P 0.5000 0.0000 0.5000
P 0.5000 0.5000 0.5000
P 0.7500 0.2500 0.7500
P 0.7500 0.7500 0.2500
N 0.0000 0.2500 0.8750
N 0.0000 0.7500 0.1250
N 0.5000 0.2500 0.6250
N 0.5000 0.7500 0.3750

Computed properties:
mass density	2.5	Mg/m³
N(E_F)	1.7	states/eV/f.u.
SG	I4_1/amd
uncorrected formation energy	1.99	eV per formula unit